A plane-wave DFT calculation with PBEsol was carried out for crystalline BaZr2Cu at its relaxed geometry.

Structure (CIF):
```
data_BaZr2Cu
_chemical_formula_sum 'Ba3 Zr6 Cu3'
_symmetry_space_group_name_H-M 'R -3 m'
_symmetry_Int_Tables_number 166
_symmetry_space_group_name_Hall '-R 3 2"'
_cell_length_a 3.3698
_cell_length_b 3.3698
_cell_length_c 29.6242
_cell_angle_alpha 90.00
_cell_angle_beta 90.00
_cell_angle_gamma 120.00
loop_
_atom_site_label
_atom_site_type_symbol
_atom_site_fract_x
_atom_site_fract_y
_atom_site_fract_z
Ba1 Ba 0.0000 0.0000 0.0000
Zr1 Zr 0.0000 0.0000 0.2297
Cu1 Cu 0.0000 0.0000 0.5000
```

## Properties
Total magnetization   0.00 μB per formula unit
Offset from the most stable computed form   148 meV/atom
Formation enthalpy at 0 K   0.4679 eV per atom
Final energy   -68.37 eV/cell